Model 1:
VASP calculation (PBE) on a relaxed Sr2ZnHPt crystal.

Properties
Its calculated volume is 21.05 Å³/atom. The total magnetization is 0.0 Bohr magnetons per cell.

Cell lengths 5.110, 5.110, 4.030 Å; angles 90.00, 90.00, 90.00 degrees
Fractional positions:
Sr1 0.000 0.500 0.000
Sr2 0.500 0.000 0.000
Zn1 0.000 0.000 0.500
H1 0.000 0.000 0.000
Pt1 0.500 0.500 0.500


Model 2:
VASP calculation (PBE) on a relaxed Sr2ZnHPt crystal.

Properties
Its calculated volume is 22.23 Å³/atom. The total magnetization is 0.0 Bohr magnetons per cell.

Cell lengths 5.526, 5.526, 3.640 Å; angles 90.00, 90.00, 90.00 degrees
Fractional positions:
Sr1 0.000 0.500 0.000
Sr2 0.500 0.000 0.000
Zn1 0.000 0.000 0.500
H1 0.500 0.500 0.000
Pt1 0.500 0.500 0.500


Which of them is the most stable? Correct choice: model 2.


Model 1:
VASP calculation (PBE) on a relaxed TaHPt3 crystal.

Properties
Its calculated volume is 13.47 Å³/atom. The total magnetization is 0.0 Bohr magnetons per cell.

Cell lengths 4.068, 4.068, 4.068 Å; angles 90.00, 90.00, 90.00 degrees
Fractional positions:
Ta1 0.000 0.000 0.000
H1 0.500 0.500 0.500
Pt1 0.000 0.500 0.500
Pt2 0.500 0.000 0.500
Pt3 0.500 0.500 0.000


Model 2:
VASP calculation (PBE) on a relaxed TaHPt3 crystal.

Properties
Its calculated volume is 23.66 Å³/atom. The total magnetization is 0.9 Bohr magnetons per cell.

Cell lengths 4.909, 4.909, 4.909 Å; angles 90.00, 90.00, 90.00 degrees
Fractional positions:
Ta1 0.000 0.000 0.000
H1 0.500 0.500 0.500
Pt1 0.000 0.000 0.500
Pt2 0.000 0.500 0.000
Pt3 0.500 0.000 0.000


Which of them is the most stable? Correct choice: model 1.